(1)
Computed, not measured: SrLi2AlV after structural relaxation at the PBE-GGA level of DFT.

* DFT formation energy: 1.09 eV/atom

Cell: 5.0034 5.0034 6.0111 Å, 90.00 90.00 90.00°
Fractional positions:
Sr 0.0000 0.0000 0.0000
Li 0.0000 0.5000 0.5000
Li 0.5000 0.0000 0.5000
Al 0.0000 0.0000 0.5000
V 0.5000 0.5000 0.0000


(2)
Computed, not measured: SrLiYAl after structural relaxation at the PBE-GGA level of DFT.

* DFT formation energy: -0.08 eV/atom

Cell: 5.4164 5.4164 5.4164 Å, 60.00 60.00 60.00°
Fractional positions:
Sr 0.0000 0.0000 0.0000
Li 0.2500 0.2500 0.2500
Y 0.5000 0.5000 0.5000
Al 0.7500 0.7500 0.7500


Sequential total moment output: 0.323 0.000 μB/f.u.
Sequential density of states at the Fermi level output: 6.949 3.497 states/eV/f.u.